Entry 1:
Material: MgTiO3
Method: DFT, PBE
State: optimized geometry

The structure in CIF format:
```
data_MgTiO3
_chemical_formula_sum 'Mg1 Ti1 O3'
_cell_length_a 3.807
_cell_length_b 3.807
_cell_length_c 3.807
_cell_angle_alpha 90.00
_cell_angle_beta 90.00
_cell_angle_gamma 90.00
_symmetry_space_group_name_H-M 'P m -3 m'
_symmetry_Int_Tables_number 221
_symmetry_space_group_name_Hall '-P 4 2 3'
loop_
_atom_site_label
_atom_site_type_symbol
_atom_site_fract_x
_atom_site_fract_y
_atom_site_fract_z
Mg1 Mg 0.000 0.000 0.000
Ti1 Ti 0.500 0.500 0.500
O1 O 0.000 0.500 0.500
```

***

Entry 2:
Material: BeZnIn
Method: DFT, PBE
State: optimized geometry

ΔH_f (0 K) ... 0.35 eV per atom

The structure in CIF format:
```
data_BeZnIn
_chemical_formula_sum 'Be1 Zn1 In1'
_cell_length_a 4.0432
_cell_length_b 4.0432
_cell_length_c 3.6345
_cell_angle_alpha 90.00
_cell_angle_beta 90.00
_cell_angle_gamma 120.00
_symmetry_space_group_name_H-M 'P -6 m 2'
_symmetry_Int_Tables_number 187
_symmetry_space_group_name_Hall 'P -6 2'
loop_
_atom_site_label
_atom_site_type_symbol
_atom_site_fract_x
_atom_site_fract_y
_atom_site_fract_z
Be1 Be 0.0000 0.0000 0.0000
Zn1 Zn 0.3333 0.6667 0.0000
In1 In 0.6667 0.3333 0.5000
```

***

Entry 3:
Material: CoTc2Pt
Method: DFT, PBE
State: optimized geometry

ΔH_f (0 K) ... 1.09 eV per atom

The structure in CIF format:
```
data_CoTc2Pt
_chemical_formula_sum 'Co4 Tc8 Pt4'
_cell_length_a 5.482
_cell_length_b 5.482
_cell_length_c 10.450
_cell_angle_alpha 90.00
_cell_angle_beta 90.00
_cell_angle_gamma 90.00
_symmetry_space_group_name_H-M 'I -4 2 d'
_symmetry_Int_Tables_number 122
_symmetry_space_group_name_Hall 'I -4 2bw'
loop_
_atom_site_label
_atom_site_type_symbol
_atom_site_fract_x
_atom_site_fract_y
_atom_site_fract_z
Co1 Co 0.000 0.000 0.000
Tc1 Tc 0.215 0.250 0.125
Pt1 Pt 0.000 0.000 0.500
```

***

Entry 4:
Material: LiPm2Pd3
Method: DFT, PBE
State: optimized geometry

ΔH_f (0 K) ... -0.67 eV per atom

The structure in CIF format:
```
data_LiPm2Pd3
_chemical_formula_sum 'Li1 Pm2 Pd3'
_cell_length_a 3.535
_cell_length_b 3.535
_cell_length_c 9.813
_cell_angle_alpha 90.00
_cell_angle_beta 90.00
_cell_angle_gamma 90.00
_symmetry_space_group_name_H-M 'P 4/m m m'
_symmetry_Int_Tables_number 123
_symmetry_space_group_name_Hall '-P 4 2'
loop_
_atom_site_label
_atom_site_type_symbol
_atom_site_fract_x
_atom_site_fract_y
_atom_site_fract_z
Li1 Li 0.000 0.000 0.000
Pm1 Pm 0.000 0.000 0.314
Pd1 Pd 0.500 0.500 0.142
Pd2 Pd 0.500 0.500 0.500
```

***

The records above yield size of the total moment values of 0.0; 0.0; 0.0; 0.0 μB per cell, respectively.
The records above yield DFT total energy values of -7.363; -2.229; -7.376; -5.171 eV per atom, respectively.
The records above yield DOS(E_F) values of 0.000; 0.363; 1.063; 0.322 states/eV/atom, respectively.